1.
Tb6Pm5Y2 | GGA-PBE | optimized geometry

Output
The energy relative to the elements is 1.19 eV per formula unit. As for the total magnetization: 0.000 μB per formula unit. As for the space-group type: No. 55. For the total energy, the calculation gives -4.87 eV/atom. For the density of states at the Fermi level, the calculation gives 1.244 states/eV per atom.

Unit cell a=3.6068 b=11.7336 c=20.5659 alpha=90.00 beta=90.00 gamma=90.00
Element x y z (fractional)
Tb1 0.0000 0.0812 0.3678
Tb2 0.0000 0.9188 0.6322
Tb3 0.0000 0.5812 0.1322
Tb4 0.0000 0.4188 0.8678
Tb5 0.5000 0.3255 0.1361
Tb6 0.5000 0.6745 0.8639
Tb7 0.5000 0.8255 0.3639
Tb8 0.5000 0.1745 0.6361
Tb9 0.0000 0.5600 0.4193
Tb10 0.0000 0.4400 0.5807
Tb11 0.0000 0.0600 0.0807
Tb12 0.0000 0.9400 0.9193
Pm1 0.5000 0.3010 0.4492
Pm2 0.5000 0.6990 0.5508
Pm3 0.5000 0.8010 0.0508
Pm4 0.5000 0.1990 0.9492
Pm5 0.5000 0.5890 0.2739
Pm6 0.5000 0.4110 0.7261
Pm7 0.5000 0.0890 0.2261
Pm8 0.5000 0.9110 0.7739
Pm9 0.5000 0.5000 0.0000
Pm10 0.5000 0.0000 0.5000
Y1 0.0000 0.3316 0.2890
Y2 0.0000 0.6684 0.7110
Y3 0.0000 0.8316 0.2110
Y4 0.0000 0.1684 0.7890

2.
K2RbNaI | GGA-PBE | optimized geometry

Output
As for the total magnetization: 0.000 μB per formula unit. As for the space-group type: No. 123. For the total energy, the calculation gives -1.69 eV/atom. The offset from the most stable computed form comes out at 0.0000 eV per atom. For the density of states at the Fermi level, the calculation gives 0.645 states/eV per atom. For the uncorrected formation energy, the calculation gives -0.480 eV per atom.

Unit cell a=6.8691 b=6.8691 c=7.1799 alpha=90.00 beta=90.00 gamma=90.00
Element x y z (fractional)
I1 0.0000 0.0000 0.0000
Na1 0.5000 0.5000 0.5000
K1 0.0000 0.5000 0.0000
K2 0.5000 0.0000 0.0000
Rb1 0.0000 0.0000 0.5000

3.
Zr2CO | GGA-PBE | optimized geometry

Output
As for the total magnetization: 0.000 μB per formula unit. As for the space-group type: No. 225. For the total energy, the calculation gives -8.75 eV/atom. The offset from the most stable computed form comes out at 0.7962 eV per atom. For the density of states at the Fermi level, the calculation gives 0.585 states/eV per atom. For the uncorrected formation energy, the calculation gives -0.930 eV per atom.

Unit cell a=4.0953 b=4.0953 c=4.0953 alpha=60.00 beta=60.00 gamma=60.00
Element x y z (fractional)
C1 0.0000 0.0000 0.0000
O1 0.5000 0.5000 0.5000
Zr1 0.2500 0.2500 0.2500
Zr2 0.7500 0.7500 0.7500

4.
KLiSiAg2 | GGA-PBE | optimized geometry

Output
As for the total magnetization: 0.000 μB per formula unit. As for the space-group type: No. 123. For the total energy, the calculation gives -2.85 eV/atom. For the density of states at the Fermi level, the calculation gives 0.150 states/eV per atom. For the uncorrected formation energy, the calculation gives -0.026 eV per atom.

Unit cell a=4.9459 b=4.9459 c=5.0582 alpha=90.00 beta=90.00 gamma=90.00
Element x y z (fractional)
K1 0.5000 0.5000 0.5000
Si1 0.0000 0.0000 0.0000
Ag1 0.0000 0.5000 0.0000
Ag2 0.5000 0.0000 0.0000
Li1 0.0000 0.0000 0.5000